# YMoO5

A relaxed YMoO5 crystal (PBE with a Hubbard U, Alexandria via LeMat-Bulk).

```
14
Lattice="-0.4080 3.1031 -4.6000 -4.8472 -1.0929 -2.5033 -4.9075 5.7745 1.1657" Properties=species:S:1:pos:R:3 pbc="T T T"
O -4.5442 2.2960 -5.3817
O -4.4023 5.0055 -3.4275
O -8.1823 3.5645 -1.7922
O -3.7891 0.3784 -3.1410
O -3.0060 2.7515 -1.2137
O -5.7604 2.7792 -2.5101
O -5.6185 5.4887 -0.5559
O -7.1567 5.0333 -4.7239
O -6.3736 7.4063 -2.7966
O -1.9804 4.2202 -4.1454
Y -6.5438 5.1133 -2.5661
Y -3.6188 2.6714 -3.3715
Mo -2.4538 2.8873 0.5829
Mo 0.0000 0.0000 0.0000
```

Crystal system ... monoclinic
D(E_F) ... 4.5 states/eV/cell
Raw total energy ... -7.52 eV/atom
Spin magnetization ... 1.03 μB per formula unit